No. 1
The following is a PBE calculation of a relaxed structure of AgHgPdF6, from the Alexandria database.

Cell lengths 5.907, 5.907, 9.366 Å; angles 90.00, 90.00, 120.00 degrees
Sites, in units of the cell vectors:
F (0.670, 0.635, 0.132)
F (0.965, 0.635, 0.368)
F (0.365, 0.035, 0.132)
F (0.330, 0.365, 0.868)
F (0.365, 0.330, 0.368)
F (0.035, 0.670, 0.868)
F (0.035, 0.365, 0.632)
F (0.635, 0.965, 0.868)
F (0.670, 0.035, 0.368)
F (0.635, 0.670, 0.632)
F (0.965, 0.330, 0.132)
F (0.330, 0.965, 0.632)
Ag (0.000, 0.000, 0.000)
Ag (0.000, 0.000, 0.500)
Hg (0.333, 0.667, 0.250)
Hg (0.667, 0.333, 0.750)
Pd (0.667, 0.333, 0.250)
Pd (0.333, 0.667, 0.750)

Results
Its space group is P-31c (163). The total energy comes out at -3.429 eV/atom. The uncorrected formation energy is -1.254 eV per atom. The calculated density comes out at 6.2 g cm⁻³. The value obtained for the spin magnetization is 1.00 μB per formula unit.

---

No. 2
The following is a PBE calculation of a relaxed structure of BaNbAg3, from the Alexandria database.

Cell lengths 5.325, 5.325, 5.325 Å; angles 90.00, 90.00, 90.00 degrees
Sites, in units of the cell vectors:
Ag (0.000, 0.000, 0.500)
Ag (0.000, 0.500, 0.000)
Ag (0.500, 0.000, 0.000)
Nb (0.000, 0.000, 0.000)
Ba (0.500, 0.500, 0.500)

Results
As for the energy above the most stable polymorph in this dataset: 0.0000 eV per atom. As for the formation energy: 58.06 kJ per mole of atoms. Its space group is Pm-3m (221). The total energy comes out at -3.507 eV/atom. The calculated density comes out at 6.1 g cm⁻³. The value obtained for the spin magnetization is 2.21 μB per formula unit.

---

No. 3
The following is a PBE calculation of a relaxed structure of SrAcTlSn, from the Alexandria database.

Cell lengths 4.960, 4.695, 6.671 Å; angles 90.00, 111.82, 90.00 degrees
Sites, in units of the cell vectors:
Sn (0.419, 0.000, 0.838)
Ac (0.862, 0.500, 0.724)
Tl (0.583, 0.500, 0.167)
Sr (0.136, 0.000, 0.272)

Results
As for the energy above the most stable polymorph in this dataset: 0.0000 eV per atom. As for the formation energy: -53.43 kJ per mole of atoms. Its space group is Amm2 (38). The total energy comes out at -3.594 eV/atom. The calculated density comes out at 7.3 g cm⁻³. The value obtained for the spin magnetization is 0.00 μB per formula unit.

---

No. 4
The following is a PBE calculation of a relaxed structure of ZrH2W, from the Alexandria database.

Cell lengths 4.238, 4.238, 5.806 Å; angles 68.60, 68.60, 90.00 degrees
Sites, in units of the cell vectors:
H (0.087, 0.625, 0.250)
H (0.663, 0.125, 0.250)
H (0.375, 0.337, 0.750)
H (0.875, 0.913, 0.750)
W (0.750, 0.250, 0.500)
W (0.000, 0.000, 0.000)
Zr (0.250, 0.750, 0.500)
Zr (0.500, 0.500, 0.000)

Results
As for the energy above the most stable polymorph in this dataset: 0.0000 eV per atom. Its space group is I-42d (122). The total energy comes out at -7.060 eV/atom. The calculated density comes out at 10.3 g cm⁻³. The value obtained for the spin magnetization is 0.00 μB per formula unit.